Density functional theory data (PBE) for a relaxed Y2IrN crystal.

Summary:
Uncorrected formation energy in eV/atom: -0.74
Magnetization in μB per atom: 0.00

Cell lengths 6.5508, 6.5508, 7.7306 Å; angles 90.00, 90.00, 90.00 degrees
Closest atoms and distances in Å follow each position.
Space group I-42d (No. 122)
Inequivalent atoms, fractional coordinates:
Y1 0.1870 0.7500 0.1250 x8  2 N 2.26
Ir1 0.0000 0.0000 0.5000 x4  4 Y 2.80
N1 0.0000 0.0000 0.0000 x4  4 Y 2.26